# 1
The following is a PBE calculation of crystalline Tc2OsPt at its relaxed geometry, from Alexandria.

a b c (Å): 5.6927 5.6927 10.8069
angles (deg): 90.00 90.00 90.00
Space group I-42d (No. 122)
Asymmetric unit:
Tc1 0.2410 0.2500 0.1250
Os1 0.0000 0.0000 0.0000
Pt1 0.0000 0.0000 0.5000

As for the crystal system: tetragonal. The calculation puts the energy of formation at 1.101 eV per atom. The value obtained for the relative energy among the computed polymorphs is 478 kJ/mol of formula units. The calculation puts the calculated volume at 350.2 Å³/cell. The value obtained for the total energy is -0.6173 Ry/atom.

---

# 2
The following is a PBE calculation of crystalline TcOsPtW at its relaxed geometry, from Alexandria.

a b c (Å): 3.8673 3.9196 3.9494
angles (deg): 90.00 90.00 90.00
Space group Pmmm (No. 47)
Asymmetric unit:
Tc1 0.0000 0.0000 0.0000
Os1 0.0000 0.5000 0.5000
Pt1 0.5000 0.0000 0.5000
W1 0.5000 0.5000 0.0000

As for the crystal system: orthorhombic. The calculation puts the energy of formation at -0.141 eV per atom. The calculation puts the calculated volume at 59.9 Å³/cell. The value obtained for the total energy is -0.7562 Ry/atom.

---

# 3
The following is a PBE calculation of crystalline Te2OsPt at its relaxed geometry, from Alexandria.

a b c (Å): 7.6961 7.7210 2.8932
angles (deg): 90.00 90.00 90.00
Space group Cmmm (No. 65)
Asymmetric unit:
Te1 0.2500 0.2500 0.0000
Os1 0.0000 0.0000 0.0000
Pt1 0.0000 0.5000 0.0000

As for the crystal system: orthorhombic. The value obtained for the relative energy among the computed polymorphs is 144 kJ/mol of formula units. The calculation puts the uncorrected formation energy at 2.4 eV per formula unit. The calculation puts the calculated volume at 171.9 Å³/cell. The value obtained for the total energy is -0.3896 Ry/atom.

---

# 4
The following is a PBE calculation of crystalline TeOsPt2 at its relaxed geometry, from Alexandria.

a b c (Å): 2.8874 4.6956 10.7693
angles (deg): 90.00 90.00 90.00
Space group Imm2 (No. 44)
Asymmetric unit:
Te1 0.0000 0.0000 0.0000
Os1 0.0000 0.5000 0.7105
Pt1 0.0000 0.0000 0.4210
Pt2 0.0000 0.5000 0.1750

As for the crystal system: orthorhombic. The calculation puts the uncorrected formation energy at 1.8 eV per formula unit. The calculation puts the calculated volume at 146.0 Å³/cell. The value obtained for the total energy is -0.4524 Ry/atom.

---

Here are the calculated magnetic moment numbers, same order: 0.000; 0.000; 0.000; 0.000 (μB per cell).